# KSr2CrF8

Crystalline KSr2CrF8 at its relaxed geometry (GGA+U, the Alexandria database).

Computed properties:
E_tot ... -5.56 eV/atom
D(E_F) ... 0.000 states/eV per atom
Space group ... P2/m
Volume ... 15.932 A^3/atom

Geometry as POSCAR:
```
KSr2CrF8
1.0
4.458 0.000 0.000
0.000 7.886 0.000
-0.729 0.000 5.438
K Sr Cr F
1 2 1 8
Direct
0.000 0.000 0.000
0.500 0.257 0.500
0.500 0.743 0.500
0.000 0.500 0.000
0.073 0.314 0.770
0.073 0.686 0.770
0.390 0.500 0.212
0.471 0.000 0.735
0.529 0.000 0.265
0.610 0.500 0.788
0.927 0.314 0.230
0.927 0.686 0.230
```